Below is a relaxed structure of Sm3Mg3Cd8, with properties calculated at the PBE-GGA level.

Unit cell a=4.908 b=9.812 c=14.224 alpha=90.00 beta=90.00 gamma=90.00
Space group Immm (No. 71)
Inequivalent atoms, fractional coordinates:
Sm 0.000 0.000 0.000
Sm 0.000 0.000 0.289
Mg 0.000 0.177 0.500
Mg 0.000 0.500 0.000
Cd 0.000 0.286 0.138
Cd 0.000 0.360 0.343

energy relative to the elements = -0.2436 eV/atom
VASP energy = -2.119 eV per atom